(1)
PmNdSiGe: relaxed, PBE.

As for the total magnetization: 0.00 μB per formula unit. For the distance to the lowest polymorph of the same formula, the calculation gives 340.8 meV per atom. The total energy comes out at -21.417 eV per formula unit. The calculation puts the formation energy (no corrections) at -465 meV per atom.

Structure (POSCAR):
```
PmNdSiGe
1.0
0.000 3.665 3.665
3.665 0.000 3.665
3.665 3.665 0.000
Pm Nd Si Ge
1 1 1 1
Cartesian
0.000 0.000 0.000
3.665 3.665 3.665
1.833 1.833 1.833
5.498 5.498 5.498
```

---

(2)
PmNdSiGe: relaxed, PBE.

As for the total magnetization: 0.00 μB per formula unit. For the distance to the lowest polymorph of the same formula, the calculation gives 0.0 meV per atom. The total energy comes out at -22.780 eV per formula unit. The calculation puts the formation energy (no corrections) at -805 meV per atom.

Structure (POSCAR):
```
PmNdSiGe
1.0
3.999 0.000 0.000
0.000 2.230 5.491
0.000 -2.230 5.491
Pm Nd Si Ge
1 1 1 1
Cartesian
0.000 0.000 0.000
1.999 0.000 7.925
0.000 0.000 3.111
1.999 0.000 4.806
```